An optimized crystal structure of RbBa2Sr. Source: Alexandria via LeMat-Bulk, functional PBE.

Output
Offset from the most stable computed form   0.27 eV/f.u.
Energy   -0.1098 Ry per atom
ΔE_f   129 meV/atom
Magnetic moment   0.00 μB per cell

Lattice parameters (Å, degrees): 10.189 10.189 10.189 90.00 90.00 90.00
Space group Fm-3m (No. 225)
Inequivalent atoms, fractional coordinates:
Rb: 0.000 0.000 0.000
Ba: 0.250 0.250 0.250
Sr: 0.000 0.000 0.500

---

An optimized crystal structure of RbBa4Sr8. Source: Alexandria via LeMat-Bulk, functional PBE.

Output
Energy   -0.1221 Ry per atom
ΔE_f   39 meV/atom
Magnetic moment   0.00 μB per cell

Lattice parameters (Å, degrees): 15.785 15.785 6.181 90.00 90.00 90.00
Space group I4/m (No. 87)
Inequivalent atoms, fractional coordinates:
Rb: 0.000 0.000 0.000
Ba: 0.154 0.766 0.000
Sr: 0.037 0.198 0.500
Sr: 0.075 0.388 0.000

---

An optimized crystal structure of RbBa2Sr. Source: Alexandria via LeMat-Bulk, functional PBE.

Output
Offset from the most stable computed form   0.00 eV/f.u.
Energy   -0.1148 Ry per atom
ΔE_f   62 meV/atom
Magnetic moment   0.00 μB per cell

Lattice parameters (Å, degrees): 4.4744 4.4744 45.5954 90.00 90.00 120.00
Space group R-3m (No. 166, hexagonal axes)
Inequivalent atoms, fractional coordinates:
Rb: 0.0000 0.0000 0.0000
Ba: 0.0000 0.0000 0.2441
Sr: 0.0000 0.0000 0.5000

---

An optimized crystal structure of RbBaSr3. Source: Alexandria via LeMat-Bulk, functional PBE.

Output
Offset from the most stable computed form   0.00 eV/f.u.
Energy   -0.0771 Ry per atom
ΔE_f   538 meV/atom
Magnetic moment   3.04 μB per cell

Lattice parameters (Å, degrees): 7.127 7.127 7.127 90.00 90.00 90.00
Space group Pm-3m (No. 221)
Inequivalent atoms, fractional coordinates:
Rb: 0.000 0.000 0.000
Ba: 0.500 0.500 0.500
Sr: 0.000 0.500 0.500

---

> Number 2 is which compound?

RbBa4Sr8